1.
The following is a PBE calculation of an optimized crystal structure of Nd2TlSb, from Alexandria via LeMat-Bulk.

Computed properties:
Mass density (kg/m3): 7868
Formation energy without anion corrections (eV/atom): -0.766
Space-group type: Cmcm
Energy relative to the lowest polymorph listed for this composition (meV per atom): 0
D(E_F) (states/eV/f.u.): 2.22

Unit cell a=4.516 b=4.601 c=12.697 alpha=100.44 beta=90.00 gamma=90.00
Sites, in units of the cell vectors:
Nd 0.750 0.685 0.371
Nd 0.250 0.315 0.629
Nd 0.750 0.936 0.871
Nd 0.250 0.064 0.129
Tl 0.250 0.456 0.912
Tl 0.750 0.544 0.088
Sb 0.250 0.188 0.377
Sb 0.750 0.812 0.623


2.
The following is a PBE calculation of an optimized crystal structure of Ce5PmRh6, from Alexandria via LeMat-Bulk.

Computed properties:
Mass density (kg/m3): 8806
Space-group type: C2/m
ΔH_f (0 K) (meV/atom): -678
D(E_F) (states/eV/f.u.): 14.87

Unit cell a=6.957 b=6.964 c=6.975 alpha=60.05 beta=80.39 gamma=70.46
Sites, in units of the cell vectors:
Ce 0.500 0.165 0.669
Ce 0.000 0.333 0.335
Ce 0.500 0.500 0.000
Ce 0.000 0.667 0.665
Ce 0.500 0.835 0.331
Pm 0.000 0.000 0.000
Rh 0.745 0.086 0.345
Rh 0.255 0.569 0.345
Rh 0.259 0.259 0.000
Rh 0.741 0.741 0.000
Rh 0.745 0.431 0.655
Rh 0.255 0.914 0.655


3.
The following is a PBE calculation of an optimized crystal structure of Th2CdHgOs, from Alexandria via LeMat-Bulk.

Computed properties:
Mass density (kg/m3): 12213
Space-group type: P2_1/m
ΔH_f (0 K) (meV/atom): -292
D(E_F) (states/eV/f.u.): 3.62

Unit cell a=4.125 b=8.341 c=8.176 alpha=110.75 beta=90.00 gamma=90.00
Sites, in units of the cell vectors:
Th 0.750 0.894 0.654
Th 0.750 0.726 0.012
Th 0.250 0.106 0.346
Th 0.250 0.274 0.988
Cd 0.250 0.546 0.643
Cd 0.750 0.454 0.357
Hg 0.250 0.697 0.308
Hg 0.750 0.303 0.692
Os 0.250 0.881 0.884
Os 0.750 0.119 0.116


4.
The following is a PBE calculation of an optimized crystal structure of La2PmBr8, from Alexandria via LeMat-Bulk.

Computed properties:
Mass density (kg/m3): 5027
Formation energy without anion corrections (eV/atom): -1.731
Space-group type: C2/m
D(E_F) (states/eV/f.u.): 8.73

Unit cell a=6.172 b=7.985 c=7.985 alpha=112.38 beta=98.50 gamma=98.50
Each line ends with the local moment (μB).
Sites, in units of the cell vectors:
La 0.000 0.312 0.688  0.24
La 0.000 0.688 0.312  0.24
Pm 0.500 0.000 0.000  0.40
Br 0.886 0.926 0.667  0.00
Br 0.886 0.667 0.926  0.00
Br 0.311 0.644 0.644  -0.01
Br 0.500 0.779 0.221  0.00
Br 0.500 0.221 0.779  0.00
Br 0.689 0.356 0.356  -0.01
Br 0.114 0.333 0.074  0.00
Br 0.114 0.074 0.333  0.00


5.
The following is a PBE calculation of an optimized crystal structure of NbPbCl4, from Alexandria via LeMat-Bulk.

Computed properties:
Mass density (kg/m3): 3878
Formation energy without anion corrections (eV/atom): -1.007
Space-group type: P-1
D(E_F) (states/eV/f.u.): 0.19

Unit cell a=5.932 b=7.463 c=8.946 alpha=74.45 beta=83.50 gamma=91.47
Sites, in units of the cell vectors:
Nb 0.824 0.572 0.429
Nb 0.176 0.428 0.571
Pb 0.252 0.982 0.931
Pb 0.748 0.018 0.069
Cl 0.868 0.564 0.699
Cl 0.974 0.896 0.340
Cl 0.565 0.285 0.507
Cl 0.705 0.639 0.146
Cl 0.295 0.361 0.854
Cl 0.435 0.715 0.493
Cl 0.026 0.104 0.660
Cl 0.132 0.436 0.301


6.
The following is a PBE calculation of an optimized crystal structure of K3LaB, from Alexandria via LeMat-Bulk.

Computed properties:
Mass density (kg/m3): 2126
Space-group type: Pm-3m
Energy relative to the lowest polymorph listed for this composition (meV per atom): 0
ΔH_f (0 K) (meV/atom): 1189
D(E_F) (states/eV/f.u.): 6.98

Unit cell a=5.930 b=5.930 c=5.930 alpha=90.00 beta=90.00 gamma=90.00
Each line ends with the local moment (μB).
Sites, in units of the cell vectors:
K 0.000 0.500 0.000  0.01
K 0.000 0.000 0.500  0.00
K 0.500 0.000 0.000  0.01
B 0.000 0.000 0.000  0.47
La 0.500 0.500 0.500  -0.65